1.
Density functional theory data (GGA-PBE) for a geometry-optimized CrSb2TeAu structure.

abc: 5.037 5.037 5.021
angles: 90.00 90.00 90.00
Positions (direct):
Cr1 0.000 0.000 0.000
Sb1 0.000 0.500 0.000
Sb2 0.500 0.000 0.000
Au1 0.500 0.500 0.500
Te1 0.000 0.000 0.500

Results
Formation energy from raw total energies = 0.497 eV per atom
Density of states at the Fermi level = 4.915 states/eV/f.u.
Polymorph energy (0 for the lowest one) = 0.00 kJ/mol of atoms
Crystal system = tetragonal

***

2.
Density functional theory data (GGA-PBE) for a geometry-optimized Y2CrSbAu structure.

abc: 5.500 5.293 5.500
angles: 90.00 90.00 90.00
Positions (direct):
Au1 0.000 0.000 0.000
Sb1 0.000 0.500 0.000
Cr1 0.500 0.500 0.500
Y1 0.500 0.000 0.000
Y2 0.000 0.000 0.500

Results
Formation energy from raw total energies = 0.395 eV per atom
Density of states at the Fermi level = 4.141 states/eV/f.u.
Crystal system = tetragonal

***

3.
Density functional theory data (GGA-PBE) for a geometry-optimized ZnCrSb2Au structure.

abc: 4.934 4.831 4.934
angles: 90.00 90.00 90.00
Positions (direct):
Sb1 0.000 0.000 0.500
Sb2 0.500 0.000 0.000
Cr1 0.000 0.000 0.000
Au1 0.500 0.500 0.500
Zn1 0.000 0.500 0.000

Results
Formation energy from raw total energies = 0.455 eV per atom
Density of states at the Fermi level = 2.063 states/eV/f.u.
Crystal system = tetragonal

***

4.
Density functional theory data (GGA-PBE) for a geometry-optimized ScCr3Au structure.

abc: 4.310 4.310 4.310
angles: 90.00 90.00 90.00
Positions (direct):
Cr1 0.000 0.000 0.500
Cr2 0.000 0.500 0.000
Cr3 0.500 0.000 0.000
Au1 0.500 0.500 0.500
Sc1 0.000 0.000 0.000

Results
Density of states at the Fermi level = 7.956 states/eV/f.u.
Polymorph energy (0 for the lowest one) = 62.51 kJ/mol of atoms
Crystal system = cubic
ΔH_f (0 K) = 1.823 eV/atom